1.
TiAsRhBr2: optimized geometry, GGA-PBE.

Cell and atoms, written as POSCAR:
```
TiAsRhBr2
1.0
5.025 0.000 0.000
0.000 5.025 0.000
0.000 0.000 4.812
Rh Br As Ti
1 2 1 1
Direct
0.000 0.000 0.000 Rh
0.500 0.000 0.000 Br
0.000 0.500 0.000 Br
0.000 0.000 0.500 As
0.500 0.500 0.500 Ti
```

Uncorrected energy in eV per atom: -4.15
Energy relative to the elements, uncorrected in kJ/mol of formula units: 240
Excess energy over the best structure of this formula in the dataset in kJ/mol of formula units: 61

***

2.
TiAsRhBr2: optimized geometry, GGA-PBE.

Cell and atoms, written as POSCAR:
```
TiAsRhBr2
1.0
4.946 0.000 0.000
0.000 4.946 0.000
0.000 0.000 5.142
Br Ti As Rh
2 1 1 1
Direct
0.000 0.500 0.000 Br
0.500 0.000 0.000 Br
0.000 0.000 0.000 Ti
0.000 0.000 0.500 As
0.500 0.500 0.500 Rh
```

Uncorrected energy in eV per atom: -4.28
Energy relative to the elements, uncorrected in kJ/mol of formula units: 179
Excess energy over the best structure of this formula in the dataset in kJ/mol of formula units: 0

***

Calculated M_tot (μB per formula unit), listed in the same order as above: 0.16; 2.04